First-principles (GGA+U) data for Li10Mn3Cr3Co2O16 after structural relaxation, as listed in the Alexandria database.

```
data_Li10Mn3Cr3Co2O16
_chemical_formula_sum 'Li10 Mn3 Cr3 Co2 O16'
_space_group_name_H-M_alt 'P 1'
_space_group_IT_number 1
_cell_length_a 5.909
_cell_length_b 6.045
_cell_length_c 9.891
_cell_angle_alpha 91.40
_cell_angle_beta 90.73
_cell_angle_gamma 118.54
loop_
_space_group_symop_operation_xyz
'x,y,z'
loop_
_atom_site_label
_atom_site_type_symbol
_atom_site_fract_x
_atom_site_fract_y
_atom_site_fract_z
Li1 Li 0.000 0.000 0.000
Li2 Li 0.009 0.604 0.002
Li3 Li 0.151 0.864 0.223
Li4 Li 0.203 0.392 0.510
Li5 Li 0.425 0.983 0.000
Li6 Li 0.501 0.565 0.726
Li7 Li 0.598 0.791 0.493
Li8 Li 0.632 0.400 0.508
Li9 Li 0.814 0.185 0.427
Li10 Li 0.825 0.226 0.926
Mn1 Mn 0.489 0.048 0.726
Mn2 Mn 0.643 0.852 0.227
Mn3 Mn 0.645 0.361 0.229
Cr1 Cr 0.148 0.359 0.229
Cr2 Cr 0.993 0.049 0.728
Cr3 Cr 0.995 0.555 0.729
Co1 Co 0.147 0.863 0.470
Co2 Co 0.476 0.518 0.972
O1 O 0.138 0.873 0.850
O2 O 0.148 0.380 0.846
O3 O 0.314 0.184 0.613
O4 O 0.314 0.718 0.615
O5 O 0.317 0.679 0.115
O6 O 0.327 0.209 0.112
O7 O 0.471 0.496 0.351
O8 O 0.484 0.991 0.353
O9 O 0.664 0.384 0.838
O10 O 0.664 0.910 0.840
O11 O 0.796 0.705 0.104
O12 O 0.817 0.217 0.113
O13 O 0.839 0.724 0.609
O14 O 0.851 0.232 0.612
O15 O 0.962 0.505 0.346
O16 O 0.978 0.031 0.336
```

Calculated values
VASP energy, eV/cell: -213.1